A plane-wave DFT calculation with PBE was carried out for crystalline Pr4NdY6 at its relaxed geometry.

## Properties
polymorph energy (0 for the lowest one)	0.0484	eV per atom
formation energy from the elements	0.1534	eV per atom
Fermi-level density of states	16.8	states/eV/f.u.
V	384.9	Å³/cell

abc: 3.5780 11.1453 11.1453
angles: 120.00 90.00 90.00
Fractional coordinates of all 11 atoms:
Pr 0.5000 0.8022 0.6044
Pr 0.5000 0.3956 0.1978
Pr 0.5000 0.8022 0.1978
Pr 0.0000 0.3333 0.6667
Y 0.0000 0.4961 0.5039
Y 0.0000 0.4961 0.9922
Y 0.5000 0.1691 0.3382
Y 0.0000 0.0078 0.5039
Y 0.5000 0.6618 0.8309
Y 0.5000 0.1691 0.8309
Nd 0.0000 0.0000 0.0000